(i)
Compound: Cs2La2I7
Source: the Alexandria database
Functional: PBE
Structure: relaxed

abc: 8.474 8.474 8.533
angles: 95.80 95.80 70.54
Sites, in units of the cell vectors:
Cs 0.225 0.775 0.000
Cs 0.775 0.225 0.000
La 0.241 0.241 0.537
La 0.759 0.759 0.463
I 0.000 0.000 0.500
I 0.056 0.491 0.257
I 0.451 0.451 0.710
I 0.491 0.056 0.257
I 0.509 0.944 0.743
I 0.549 0.549 0.290
I 0.944 0.509 0.743

Values from the calculation:
**D(E_F)**: 0.6883 states/eV/atom
**ρ**: 4.15 g/cm3

=====

(ii)
Compound: Cs2La2I7
Source: the Alexandria database
Functional: PBE
Structure: relaxed

abc: 10.016 10.016 9.049
angles: 96.01 96.01 121.81
Sites, in units of the cell vectors:
Cs 0.188 0.812 0.000
Cs 0.812 0.188 0.000
La 0.204 0.204 0.603
La 0.796 0.796 0.397
I 0.072 0.072 0.251
I 0.116 0.433 0.756
I 0.433 0.116 0.756
I 0.500 0.500 0.500
I 0.567 0.884 0.244
I 0.884 0.567 0.244
I 0.928 0.928 0.749

Values from the calculation:
**ρ**: 3.16 g/cm3

=====

Verdict on stability: (ii) comes out on top.